Entry 1:
DFT (PBE) results for a geometry-optimized TaNi5 structure.

POSCAR file:
```
TaNi5
1.0
2.334 -4.306 0.000
2.334 4.306 0.000
0.000 0.000 7.474
Ni Ta
10 2
direct
0.500 0.500 0.000
0.831 0.169 0.067
0.321 0.167 0.250
0.833 0.679 0.250
0.831 0.169 0.433
0.500 0.500 0.500
0.169 0.831 0.567
0.167 0.321 0.750
0.679 0.833 0.750
0.169 0.831 0.933
0.317 0.683 0.250
0.683 0.317 0.750
```

## Properties
As for the space-group type: Cmcm, No. 63. The formation energy comes out at 0.0468 eV per atom. The total energy comes out at -6.568 eV per atom.

***

Entry 2:
DFT (PBE) results for a geometry-optimized Ta7Ni5 structure.

POSCAR file:
```
Ta7Ni5
1.0
5.110 0.000 0.000
-2.555 4.425 0.000
0.000 0.000 16.153
Ni Ta
10 14
direct
0.500 0.000 0.000
0.000 0.500 0.000
0.500 0.500 0.000
0.333 0.667 0.117
0.333 0.667 0.383
0.500 0.000 0.500
0.000 0.500 0.500
0.500 0.500 0.500
0.667 0.333 0.617
0.667 0.333 0.883
0.000 0.000 0.087
0.667 0.333 0.144
0.165 0.330 0.250
0.165 0.835 0.250
0.670 0.835 0.250
0.667 0.333 0.356
0.000 0.000 0.413
0.000 0.000 0.587
0.333 0.667 0.644
0.330 0.165 0.750
0.835 0.165 0.750
0.835 0.670 0.750
0.333 0.667 0.856
0.000 0.000 0.913
```

## Properties
As for the space-group type: P6_3/mmc, No. 194. The formation energy comes out at -0.0082 eV per atom. The total energy comes out at -9.242 eV per atom. For the offset from the most stable computed form, the calculation gives 7 meV/atom.

***

Entry 3:
DFT (PBE) results for a geometry-optimized TaNi structure.

POSCAR file:
```
TaNi
1.0
4.955 0.000 0.000
-2.478 4.291 0.000
0.000 0.000 8.064
Ni Ta
6 6
direct
0.347 0.173 0.250
0.827 0.173 0.250
0.827 0.653 0.250
0.173 0.347 0.750
0.173 0.827 0.750
0.653 0.827 0.750
0.000 0.000 0.000
0.333 0.667 0.066
0.333 0.667 0.434
0.000 0.000 0.500
0.667 0.333 0.566
0.667 0.333 0.934
```

## Properties
As for the space-group type: P6_3/mmc, No. 194. The formation energy comes out at -0.2232 eV per atom. The total energy comes out at -8.933 eV per atom.

***

Entry 4:
DFT (PBE) results for a geometry-optimized TaNi2 structure.

POSCAR file:
```
TaNi2
1.0
8.932 0.000 0.000
0.000 8.932 0.000
0.000 0.000 5.067
Ni Ta
20 10
direct
0.731 0.052 0.000
0.468 0.134 0.000
0.948 0.269 0.000
0.404 0.404 0.000
0.134 0.468 0.000
0.866 0.532 0.000
0.596 0.596 0.000
0.052 0.731 0.000
0.532 0.866 0.000
0.269 0.948 0.000
0.634 0.032 0.500
0.904 0.096 0.500
0.448 0.231 0.500
0.968 0.366 0.500
0.231 0.448 0.500
0.769 0.552 0.500
0.032 0.634 0.500
0.552 0.769 0.500
0.096 0.904 0.500
0.366 0.968 0.500
0.000 0.000 0.000
0.700 0.300 0.249
0.300 0.700 0.249
0.200 0.200 0.251
0.800 0.800 0.251
0.500 0.500 0.500
0.200 0.200 0.749
0.800 0.800 0.749
0.700 0.300 0.751
0.300 0.700 0.751
```

## Properties
As for the space-group type: P4_2/mnm, No. 136. The formation energy comes out at -0.0132 eV per atom. The total energy comes out at -7.676 eV per atom.

***

Entry 5:
DFT (PBE) results for a geometry-optimized TaNi14 structure.

POSCAR file:
```
TaNi14
1.0
8.665 0.000 0.000
0.000 8.665 0.000
0.000 0.000 4.555
Ni Ta
28 2
direct
0.731 0.065 0.000
0.460 0.132 0.000
0.935 0.269 0.000
0.397 0.397 0.000
0.132 0.460 0.000
0.868 0.540 0.000
0.603 0.603 0.000
0.065 0.731 0.000
0.540 0.868 0.000
0.269 0.935 0.000
0.686 0.314 0.249
0.314 0.686 0.249
0.186 0.186 0.251
0.814 0.814 0.251
0.632 0.040 0.500
0.897 0.103 0.500
0.435 0.231 0.500
0.960 0.368 0.500
0.231 0.435 0.500
0.769 0.565 0.500
0.040 0.632 0.500
0.565 0.769 0.500
0.103 0.897 0.500
0.368 0.960 0.500
0.186 0.186 0.749
0.814 0.814 0.749
0.686 0.314 0.751
0.314 0.686 0.751
0.000 0.000 0.000
0.500 0.500 0.500
```

## Properties
As for the space-group type: P4_2/mnm, No. 136. The formation energy comes out at 0.0402 eV per atom. The total energy comes out at -5.947 eV per atom.

***

Entry 6:
DFT (PBE) results for a geometry-optimized Ta5Ni8 structure.

POSCAR file:
```
Ta5Ni8
1.0
2.409 1.391 8.758
-2.409 1.391 8.758
0.000 -2.782 8.758
Ni Ta
8 5
direct
0.582 0.088 0.088
0.088 0.582 0.088
0.165 0.165 0.165
0.912 0.912 0.418
0.088 0.088 0.582
0.835 0.835 0.835
0.912 0.418 0.912
0.418 0.912 0.912
0.000 0.000 0.000
0.344 0.344 0.344
0.451 0.451 0.451
0.549 0.549 0.549
0.656 0.656 0.656
```

## Properties
As for the space-group type: R-3m, No. 166. The formation energy comes out at -0.1269 eV per atom. The total energy comes out at -8.112 eV per atom. For the offset from the most stable computed form, the calculation gives 116 meV/atom.

***

Entry 7:
DFT (PBE) results for a geometry-optimized Ta5Ni7 structure.

POSCAR file:
```
Ta5Ni7
1.0
-1.966 -4.218 -1.981
4.901 1.061 -0.666
3.494 -7.837 13.219
Ni Ta
14 10
direct
0.333 0.667 0.135
0.667 0.333 0.156
0.160 0.321 0.250
0.160 0.840 0.250
0.679 0.840 0.250
0.667 0.333 0.344
0.333 0.667 0.365
0.667 0.333 0.635
0.333 0.667 0.656
0.321 0.160 0.750
0.840 0.160 0.750
0.840 0.679 0.750
0.333 0.667 0.844
0.667 0.333 0.865
0.500 0.000 0.000
0.000 0.500 0.000
0.500 0.500 0.000
0.000 0.000 0.112
0.000 0.000 0.388
0.500 0.000 0.500
0.000 0.500 0.500
0.500 0.500 0.500
0.000 0.000 0.612
0.000 0.000 0.888
```

## Properties
As for the space-group type: P6_3/mmc, No. 194. The formation energy comes out at 0.1914 eV per atom. The total energy comes out at -7.995 eV per atom. For the offset from the most stable computed form, the calculation gives 46 meV/atom.

***

Entry 8:
DFT (PBE) results for a geometry-optimized Ta5Ni structure.

POSCAR file:
```
Ta5Ni
1.0
2.697 -4.465 0.000
2.697 4.465 0.000
0.000 0.000 8.657
Ni Ta
2 10
direct
0.661 0.339 0.250
0.339 0.661 0.750
0.500 0.500 0.000
0.163 0.837 0.064
0.146 0.339 0.250
0.661 0.854 0.250
0.163 0.837 0.436
0.500 0.500 0.500
0.837 0.163 0.564
0.339 0.146 0.750
0.854 0.661 0.750
0.837 0.163 0.936
```

## Properties
As for the space-group type: Cmcm, No. 63. The formation energy comes out at 0.0331 eV per atom. The total energy comes out at -10.772 eV per atom. For the offset from the most stable computed form, the calculation gives 0 meV/atom.